Record 1
First-principles (PBE-GGA) data for AsPAuBr2 after structural relaxation, as listed in Alexandria via LeMat-Bulk.

a b c (Å): 5.162 5.162 5.348
angles (deg): 90.00 90.00 90.00
Element x y z (fractional)
As 0.000 0.000 0.000
P 0.500 0.500 0.000
Au 0.000 0.000 0.500
Br 0.000 0.500 0.500
Br 0.500 0.000 0.500

Formation energy from raw total energies, eV/atom: 0.8822
Mass density, Mg/m³: 5.392
Energy above the most stable polymorph in this dataset, eV per formula unit: 1.22


Record 2
First-principles (PBE-GGA) data for Th2ZrMn after structural relaxation, as listed in Alexandria via LeMat-Bulk.

a b c (Å): 11.417 11.417 11.417
angles (deg): 16.54 16.54 16.54
Element x y z (fractional)
Th 0.092 0.092 0.092
Th 0.908 0.908 0.908
Zr 0.000 0.000 0.000
Mn 0.500 0.500 0.500

Mass density, Mg/m³: 9.634
Formation energy from the elements, eV/atom: 0.54


Record 3
First-principles (PBE-GGA) data for Ho4TcSn after structural relaxation, as listed in Alexandria via LeMat-Bulk.

a b c (Å): 8.009 8.009 6.133
angles (deg): 102.88 102.88 112.81
Element x y z (fractional)
Ho 0.058 0.720 0.935
Ho 0.208 0.351 0.660
Ho 0.280 0.942 0.565
Ho 0.351 0.208 0.160
Ho 0.649 0.792 0.840
Ho 0.720 0.058 0.435
Ho 0.792 0.649 0.340
Ho 0.942 0.280 0.065
Tc 0.001 0.999 0.250
Tc 0.999 0.001 0.750
Sn 0.371 0.629 0.250
Sn 0.629 0.371 0.750

Mass density, Mg/m³: 8.768
Formation energy from the elements, eV/atom: -0.36


Record 4
First-principles (PBE-GGA) data for NiHgCl after structural relaxation, as listed in Alexandria via LeMat-Bulk.

a b c (Å): 7.013 7.013 7.013
angles (deg): 153.45 153.45 37.90
Element x y z (fractional)
Ni 0.000 0.000 0.000
Hg 0.738 0.738 0.000
Cl 0.473 0.473 0.000

Formation energy from raw total energies, eV/atom: 0.0815
Mass density, Mg/m³: 7.114
Energy above the most stable polymorph in this dataset, eV per formula unit: 0.39


Record 5
First-principles (PBE-GGA) data for LiNpReSi after structural relaxation, as listed in Alexandria via LeMat-Bulk.

a b c (Å): 4.513 4.513 4.513
angles (deg): 60.00 60.00 60.00
Element x y z (fractional)
Li 0.000 0.000 0.000
Np 0.250 0.250 0.250
Re 0.500 0.500 0.500
Si 0.750 0.750 0.750

Formation energy from raw total energies, eV/atom: 0.1978
Mass density, Mg/m³: 11.707


Record 6
First-principles (PBE-GGA) data for CaCeTc after structural relaxation, as listed in Alexandria via LeMat-Bulk.

a b c (Å): 3.688 3.688 12.189
angles (deg): 96.15 96.15 83.01
Element x y z (fractional)
Ca 0.204 0.204 0.370
Ca 0.796 0.796 0.630
Ce 0.287 0.287 0.106
Ce 0.713 0.713 0.894
Tc 0.245 0.245 0.830
Tc 0.755 0.755 0.170

Mass density, Mg/m³: 5.673
Formation energy from the elements, eV/atom: 0.10
Energy above the most stable polymorph in this dataset, eV per formula unit: 0.00


Record 7
First-principles (PBE-GGA) data for Pm2Dy3Tm2 after structural relaxation, as listed in Alexandria via LeMat-Bulk.

a b c (Å): 6.142 6.142 10.673
angles (deg): 95.41 95.41 33.70
Element x y z (fractional)
Pm 0.215 0.215 0.355
Pm 0.785 0.785 0.645
Dy 0.358 0.358 0.930
Dy 0.500 0.500 0.500
Dy 0.642 0.642 0.070
Tm 0.070 0.070 0.788
Tm 0.930 0.930 0.212

Mass density, Mg/m³: 8.333
Formation energy from the elements, eV/atom: 0.02
Energy above the most stable polymorph in this dataset, eV per formula unit: 0.00


Record 8
First-principles (PBE-GGA) data for YScTlRu after structural relaxation, as listed in Alexandria via LeMat-Bulk.

a b c (Å): 4.955 4.955 4.955
angles (deg): 60.00 60.00 60.00
Element x y z (fractional)
Y 0.000 0.000 0.000
Sc 0.500 0.500 0.500
Tl 0.750 0.750 0.750
Ru 0.250 0.250 0.250

Mass density, Mg/m³: 8.481
Formation energy from the elements, eV/atom: -0.26
Energy above the most stable polymorph in this dataset, eV per formula unit: 0.70